# 1
Ac2SnBi: optimized geometry, PBE.

Summary:
The formation energy is -0.833 eV/atom. As for the crystal system: orthorhombic. The space group is No. 63. The value obtained for the energy above the most stable polymorph in this dataset is 0 meV/atom.

Cell: 4.7155 4.9731 13.3939 Å, 100.70 90.00 90.00°
Last column: nearest neighbours and their distance in Å.
Element x y z (fractional)
Sn (0.7500, 0.5416, 0.0833)  2 Sn 3.22, 4 Ac 3.47
Ac (0.2500, 0.3180, 0.6360)  5 Bi 3.40-3.43, 1 Sn 3.69
Sn (0.2500, 0.4584, 0.9167)  2 Sn 3.22, 4 Ac 3.47
Ac (0.2500, 0.0627, 0.1254)  1 Bi 3.32, 6 Sn 3.47-3.70
Ac (0.7500, 0.6820, 0.3640)  5 Bi 3.40-3.43, 1 Sn 3.69
Ac (0.7500, 0.9373, 0.8746)  1 Bi 3.32, 6 Sn 3.47-3.70
Bi (0.7500, 0.8111, 0.6222)  6 Ac 3.32-3.43
Bi (0.2500, 0.1889, 0.3778)  6 Ac 3.32-3.43



# 2
SmSc2O4: optimized geometry, PBE.

Summary:
As for the crystal system: orthorhombic. Its formation energy (no corrections) is -3323 meV per atom. The space group is No. 63.

Cell: 3.1838 5.4695 10.4683 Å, 90.00 90.00 106.92°
Last column: nearest neighbours and their distance in Å.
Element x y z (fractional)
Sm (0.6198, 0.2396, 0.7500)  6 O 2.35-2.43
O (0.9541, 0.9083, 0.7500)  2 Sc 2.09
Sc (0.1296, 0.2592, 0.0683)  6 O 2.09-2.22
Sc (0.1296, 0.2592, 0.4317)  6 O 2.09-2.22
Sc (0.8704, 0.7408, 0.5683)  6 O 2.09-2.22
Sc (0.8704, 0.7408, 0.9317)  6 O 2.09-2.22
O (0.5000, 0.0000, 0.0000)  4 Sc 2.21
O (0.7714, 0.5428, 0.1119)  3 Sc 2.15-2.22
O (0.5000, 0.0000, 0.5000)  4 Sc 2.21
O (0.2286, 0.4572, 0.8881)  3 Sc 2.15-2.22
Sm (0.3802, 0.7604, 0.2500)  6 O 2.35-2.43
O (0.7714, 0.5428, 0.3881)  3 Sc 2.15-2.22
O (0.0459, 0.0917, 0.2500)  2 Sc 2.09
O (0.2286, 0.4572, 0.6119)  3 Sc 2.15-2.22



# 3
Ca2LaRu: optimized geometry, PBE.

Summary:
The formation energy is 0.415 eV/atom. As for the crystal system: monoclinic. The space group is No. 12. The value obtained for the energy above the most stable polymorph in this dataset is 567 meV/atom.

Cell: 6.4352 6.4352 3.6666 Å, 76.33 76.33 123.43°
Last column: nearest neighbours and their distance in Å.
Element x y z (fractional)
Ca (0.5000, 0.5000, 0.0000)  4 Ca 3.05-3.40, 2 La 3.31, 2 Ru 3.31
Ca (0.0000, 0.0000, 0.0000)  4 Ca 3.05-3.40, 2 Ru 3.31, 2 La 3.31
La (0.5000, 0.0000, 0.5000)  4 Ru 3.05-3.40, 4 Ca 3.31
Ru (0.0000, 0.5000, 0.5000)  4 La 3.05-3.40, 4 Ca 3.31



# 4
KFe2Rh: optimized geometry, PBE.

Summary:
The formation energy is 0.814 eV/atom. As for the crystal system: orthorhombic. The space group is No. 44. The value obtained for the energy above the most stable polymorph in this dataset is 288 meV/atom.

Cell: 5.7913 5.7913 5.7913 Å, 152.87 126.47 61.03°
Last column: nearest neighbours and their distance in Å.
Element x y z (fractional)
Fe (0.9963, 0.9963, 0.0000)  4 Fe 2.43-2.72, 2 Rh 2.52
K (0.5004, 0.5004, 0.0000)  2 K 2.72, 4 Fe 2.94
Rh (0.2091, 0.7091, 0.5000)  2 Fe 2.52, 2 Rh 2.72
Fe (0.7941, 0.2941, 0.5000)  4 Fe 2.43-2.72



# 5
Fe2C3N6: optimized geometry, PBE.

Summary:
As for the crystal system: trigonal. Its formation energy (no corrections) is 420 meV per atom. The space group is No. 155. The value obtained for the energy above the most stable polymorph in this dataset is 168 meV/atom.

Cell: 5.6546 5.1949 14.3807 Å, 90.00 147.97 62.65°
Last column: nearest neighbours and their distance in Å.
Element x y z (fractional)
N (0.1957, 0.5992, 0.9820)  1 C 1.23
Fe (0.0000, 0.0000, 0.1707)  6 N 1.95-2.04
N (0.9932, 0.6060, 0.5812)  1 C 1.23
C (0.0000, 0.6870, 0.0000)  2 N 1.23
N (0.0068, 0.5992, 0.4188)  1 C 1.23
Fe (0.0000, 0.0000, 0.8293)  6 N 1.95-2.04
C (0.0609, 0.6261, 0.6870)  2 N 1.23
N (0.8111, 0.7949, 0.1871)  1 C 1.23
C (0.9391, 0.6870, 0.3130)  2 N 1.23
N (0.8043, 0.7949, 0.0180)  1 C 1.23
N (0.1889, 0.6060, 0.8129)  1 C 1.23



# 6
AcGeSbRh: optimized geometry, PBE.

Summary:
As for the crystal system: cubic. Its formation energy (no corrections) is -296 meV per atom. The space group is No. 216.

Cell: 5.1106 5.1106 5.1106 Å, 60.00 60.00 60.00°
Last column: nearest neighbours and their distance in Å.
Element x y z (fractional)
Sb (0.5000, 0.5000, 0.5000)  4 Rh 3.13, 4 Ge 3.13
Ac (0.0000, 0.0000, 0.0000)  4 Ge 3.13, 4 Rh 3.13
Ge (0.7500, 0.7500, 0.7500)  4 Ac 3.13, 4 Sb 3.13
Rh (0.2500, 0.2500, 0.2500)  4 Ac 3.13, 4 Sb 3.13



Number 1: DOS(E_F) 4.7 states/eV per cell. Number 2: DOS(E_F) 1.7 states/eV per cell. Number 3: DOS(E_F) 3.8 states/eV per cell. Number 4: DOS(E_F) 5.5 states/eV per cell. Number 5: DOS(E_F) 3.2 states/eV per cell. Number 6: DOS(E_F) 4.4 states/eV per cell.